# 1
Here is a geometry-optimized ZrBrN3 structure from Alexandria via LeMat-Bulk. Energies are from GGA-PBE.

## Properties
Formation energy from raw total energies (eV per atom): 1.50
Spin magnetization (Bohr magnetons per cell): 0.00
Total DFT energy (no corrections) (eV for the cell shown): -27.72

a b c (Å): 3.8511 3.8511 3.8511
angles (deg): 90.00 90.00 90.00
With the nearest neighbours (Å) after each atom.
Space group Pm-3m (No. 221)
Inequivalent atoms, fractional coordinates:
Zr (0.0000, 0.0000, 0.0000) [1 per cell]  12 N 2.72
Br (0.5000, 0.5000, 0.5000) [1 per cell]  6 N 1.93
N (0.0000, 0.5000, 0.5000) [3 per cell]  2 Br 1.93

# 2
Here is a geometry-optimized Pu5Pb3 structure from Alexandria via LeMat-Bulk. Energies are from GGA-PBE.

## Properties
Calculated formation energy (eV/atom): 0.018
Spin magnetization (Bohr magnetons per cell): 11.48
Total DFT energy (no corrections) (eV for the cell shown): -165.27
Offset from the most stable computed form (meV/atom): 98

a b c (Å): 9.2354 9.8564 4.7251
angles (deg): 90.00 90.00 90.00
With the nearest neighbours (Å) after each atom.
Space group Cmmm (No. 65)
Inequivalent atoms, fractional coordinates:
Pu (0.0000, 0.0000, 0.0000) [2 per cell]  8 Pu 3.24-3.38, 4 Pb 3.37
Pu (0.2397, 0.0000, 0.5000) [4 per cell]  6 Pu 3.24-3.42, 6 Pb 3.27-3.48
Pu (0.2500, 0.2500, 0.0000) [4 per cell]  6 Pb 3.30-3.38, 6 Pu 3.38-3.42
Pb (0.0000, 0.2442, 0.5000) [4 per cell]  10 Pu 3.27-3.48, 2 Pb 3.46
Pb (0.0000, 0.5000, 0.0000) [2 per cell]  8 Pu 3.37-3.38, 4 Pb 3.46

# 3
Here is a geometry-optimized Y3TlPb2 structure from Alexandria via LeMat-Bulk. Energies are from GGA-PBE.

## Properties
Calculated formation energy (eV/atom): -0.425
Spin magnetization (Bohr magnetons per cell): 0.00
Total DFT energy (no corrections) (eV for the cell shown): -126.90
Offset from the most stable computed form (meV/atom): 0

a b c (Å): 16.8207 6.3888 6.4937
angles (deg): 90.00 101.23 90.00
With the nearest neighbours (Å) after each atom.
Space group C2/c (No. 15)
Inequivalent atoms, fractional coordinates:
Y (0.0000, 0.1239, 0.2500) [4 per cell]  2 Tl 3.16-3.23, 4 Pb 3.20-3.45
Y (0.1685, 0.3851, 0.5956) [8 per cell]  4 Pb 3.17-3.52, 1 Tl 3.18
Tl (0.0000, 0.3811, 0.7500) [4 per cell]  4 Y 3.16-3.23
Pb (0.1638, 0.1108, 0.0701) [8 per cell]  6 Y 3.17-3.52, 2 Pb 3.54

# 4
Here is a geometry-optimized CaFe2Os structure from Alexandria via LeMat-Bulk. Energies are from GGA-PBE.

## Properties
Calculated formation energy (eV/atom): 0.436
Spin magnetization (Bohr magnetons per cell): 4.43
Total DFT energy (no corrections) (eV for the cell shown): -28.41
Offset from the most stable computed form (meV/atom): 118

a b c (Å): 2.7639 3.7064 6.4866
angles (deg): 90.00 90.00 90.00
With the nearest neighbours (Å) after each atom.
Space group Pmmm (No. 47)
Inequivalent atoms, fractional coordinates:
Ca (0.0000, 0.0000, 0.0000) [1 per cell]  2 Ca 2.76
Fe (0.5000, 0.5000, 0.3233) [2 per cell]  1 Fe 2.29
Os (0.0000, 0.0000, 0.5000) [1 per cell]  8 Fe 2.58, 2 Os 2.76

# 5
Here is a geometry-optimized Mo3Ru structure from Alexandria via LeMat-Bulk. Energies are from GGA-PBE.

## Properties
Calculated formation energy (eV/atom): 0.114
Spin magnetization (Bohr magnetons per cell): 0.73
Total DFT energy (no corrections) (eV for the cell shown): -82.63

a b c (Å): 3.1909 4.4331 8.7382
angles (deg): 90.00 90.00 90.00
With the nearest neighbours (Å) after each atom.
Space group Cmmm (No. 65)
Inequivalent atoms, fractional coordinates:
Mo (0.0000, 0.0000, 0.0000) [2 per cell]  8 Mo 2.73-2.74
Mo (0.0000, 0.5000, 0.2550) [4 per cell]  2 Ru 2.67, 6 Mo 2.73-2.74
Ru (0.0000, 0.0000, 0.5000) [2 per cell]  4 Mo 2.67, 4 Ru 2.73

# 6
Here is a geometry-optimized PrYGaIr structure from Alexandria via LeMat-Bulk. Energies are from GGA-PBE.

## Properties
Calculated formation energy (eV/atom): -0.559
Spin magnetization (Bohr magnetons per cell): 0.00
Total DFT energy (no corrections) (eV for the cell shown): -101.46
Offset from the most stable computed form (meV/atom): 107

a b c (Å): 7.1698 7.1698 7.1698
angles (deg): 90.00 90.00 90.00
With the nearest neighbours (Å) after each atom.
Space group F-43m (No. 216)
Inequivalent atoms, fractional coordinates:
Pr (0.0000, 0.0000, 0.0000) [4 per cell]  4 Ga 3.10, 4 Ir 3.10
Y (0.0000, 0.0000, 0.5000) [4 per cell]  4 Ir 3.10, 4 Ga 3.10
Ga (0.2500, 0.2500, 0.7500) [4 per cell]  4 Pr 3.10, 4 Y 3.10
Ir (0.2500, 0.2500, 0.2500) [4 per cell]  4 Pr 3.10, 4 Y 3.10

# 7
Here is a geometry-optimized KTaTe structure from Alexandria via LeMat-Bulk. Energies are from GGA-PBE.

## Properties
Formation energy from raw total energies (eV per atom): 0.87
Spin magnetization (Bohr magnetons per cell): 1.33
Total DFT energy (no corrections) (eV for the cell shown): -13.50
Offset from the most stable computed form (meV/atom): 513

a b c (Å): 5.4530 5.4530 3.0135
angles (deg): 90.00 90.00 120.00
With the nearest neighbours (Å) after each atom.
Space group P-6m2 (No. 187)
Inequivalent atoms, fractional coordinates:
K (0.0000, 0.0000, 0.0000) [1 per cell]  2 K 3.01
Ta (0.6667, 0.3333, 0.5000) [1 per cell]  2 Ta 3.01, 3 Te 3.15
Te (0.3333, 0.6667, 0.5000) [1 per cell]  2 Te 3.01, 3 Ta 3.15

# 8
Here is a geometry-optimized La2TaMo structure from Alexandria via LeMat-Bulk. Energies are from GGA-PBE.

## Properties
Calculated formation energy (eV/atom): 0.584
Spin magnetization (Bohr magnetons per cell): 0.00
Total DFT energy (no corrections) (eV for the cell shown): -60.41
Offset from the most stable computed form (meV/atom): 351

a b c (Å): 5.3659 5.3659 6.4256
angles (deg): 90.00 90.00 90.00
With the nearest neighbours (Å) after each atom.
Space group I-4m2 (No. 119)
Inequivalent atoms, fractional coordinates:
La (0.0000, 0.0000, 0.0000) [2 per cell]  4 La 3.13, 4 Mo 3.13, 2 Ta 3.21
La (0.0000, 0.5000, 0.2500) [2 per cell]  4 Ta 3.13, 4 La 3.13, 2 Mo 3.21
Ta (0.0000, 0.0000, 0.5000) [2 per cell]  6 La 3.13-3.21, 4 Mo 3.13
Mo (0.0000, 0.5000, 0.7500) [2 per cell]  4 Ta 3.13, 6 La 3.13-3.21

# 9
Here is a geometry-optimized SrGaF2 structure from Alexandria via LeMat-Bulk. Energies are from GGA-PBE.

## Properties
Formation energy from raw total energies (eV per atom): -2.27
Spin magnetization (Bohr magnetons per cell): 3.23
Total DFT energy (no corrections) (eV for the cell shown): -70.14
Offset from the most stable computed form (meV/atom): 275

a b c (Å): 6.1059 6.1059 11.8618
angles (deg): 90.00 90.00 90.00
With the nearest neighbours (Å) after each atom.
Space group I-42d (No. 122)
Inequivalent atoms, fractional coordinates:
Sr (0.0000, 0.0000, 0.0000) [4 per cell]  4 F 2.32
Ga (0.0000, 0.0000, 0.5000) [4 per cell]  4 F 3.01
F (0.1523, 0.2500, 0.1250) [8 per cell]  2 Sr 2.32

# 10
Here is a geometry-optimized Ho4InAgRu2 structure from Alexandria via LeMat-Bulk. Energies are from GGA-PBE.

## Properties
Calculated formation energy (eV/atom): -0.351
Spin magnetization (Bohr magnetons per cell): 0.00
Total DFT energy (no corrections) (eV for the cell shown): -135.78

a b c (Å): 4.9902 4.9902 24.4318
angles (deg): 90.00 90.00 120.00
With the nearest neighbours (Å) after each atom.
Space group R-3m (No. 166, hexagonal axes)
Inequivalent atoms, fractional coordinates:
Ho (0.0000, 0.0000, 0.1218) [6 per cell]  1 Ag 2.98, 4 Ru 3.02-3.09, 3 In 3.08
Ho (0.0000, 0.0000, 0.3724) [6 per cell]  4 Ru 3.03-3.09, 3 Ag 3.03, 1 In 3.12
In (0.0000, 0.0000, 0.5000) [3 per cell]  8 Ho 3.08-3.12
Ag (0.0000, 0.0000, 0.0000) [3 per cell]  8 Ho 2.98-3.03
Ru (0.0000, 0.0000, 0.2484) [6 per cell]  8 Ho 3.02-3.09

# 11
Here is a geometry-optimized PuCoCuRu structure from Alexandria via LeMat-Bulk. Energies are from GGA-PBE.

## Properties
Calculated formation energy (eV/atom): 0.029
Spin magnetization (Bohr magnetons per cell): 14.31
Total DFT energy (no corrections) (eV for the cell shown): -138.77

a b c (Å): 6.2367 6.2367 6.2367
angles (deg): 90.00 90.00 90.00
With the nearest neighbours (Å) after each atom.
Space group F-43m (No. 216)
Inequivalent atoms, fractional coordinates:
Pu (0.0000, 0.0000, 0.0000) [4 per cell]  4 Co 2.70, 4 Ru 2.70
Co (0.2500, 0.2500, 0.2500) [4 per cell]  4 Cu 2.70, 4 Pu 2.70
Cu (0.0000, 0.0000, 0.5000) [4 per cell]  4 Ru 2.70, 4 Co 2.70
Ru (0.2500, 0.2500, 0.7500) [4 per cell]  4 Cu 2.70, 4 Pu 2.70

# 12
Here is a geometry-optimized CrRe4Br structure from Alexandria via LeMat-Bulk. Energies are from GGA-PBE.

## Properties
Formation energy from raw total energies (eV per atom): 1.13
Spin magnetization (Bohr magnetons per cell): 8.95
Total DFT energy (no corrections) (eV for the cell shown): -217.25

a b c (Å): 7.4207 7.4207 7.4207
angles (deg): 90.00 90.00 90.00
With the nearest neighbours (Å) after each atom.
Space group F-43m (No. 216)
Inequivalent atoms, fractional coordinates:
Cr (0.0000, 0.0000, 0.0000) [4 per cell]  12 Re 3.08, 4 Br 3.21
Re (0.1255, 0.1255, 0.6255) [16 per cell]  6 Re 2.61-2.63
Br (0.2500, 0.2500, 0.2500) [4 per cell]  12 Re 3.08, 4 Cr 3.21

# 13
Here is a geometry-optimized VTeP structure from Alexandria via LeMat-Bulk. Energies are from GGA-PBE.

## Properties
Formation energy from raw total energies (eV per atom): -0.31
Spin magnetization (Bohr magnetons per cell): 0.00
Total DFT energy (no corrections) (eV for the cell shown): -334.91

a b c (Å): 13.9816 13.9816 6.1458
angles (deg): 90.00 90.00 120.00
With the nearest neighbours (Å) after each atom.
Space group R-3 (No. 148, hexagonal axes)
Inequivalent atoms, fractional coordinates:
V (0.0268, 0.5971, 0.2388) [18 per cell]  4 P 2.40-2.49, 1 Te 2.63
Te (0.0743, 0.1757, 0.2554) [18 per cell]  3 V 2.63-2.85, 1 P 2.85
P (0.0347, 0.4385, 0.3902) [18 per cell]  4 V 2.40-2.49

# 14
Here is a geometry-optimized PaTaNi4 structure from Alexandria via LeMat-Bulk. Energies are from GGA-PBE.

## Properties
Calculated formation energy (eV/atom): -0.230
Spin magnetization (Bohr magnetons per cell): 6.23
Total DFT energy (no corrections) (eV for the cell shown): -183.41

a b c (Å): 6.9881 6.9881 6.9881
angles (deg): 90.00 90.00 90.00
With the nearest neighbours (Å) after each atom.
Space group F-43m (No. 216)
Inequivalent atoms, fractional coordinates:
Pa (0.0000, 0.0000, 0.0000) [4 per cell]  12 Ni 2.90, 4 Ta 3.03
Ta (0.2500, 0.2500, 0.2500) [4 per cell]  12 Ni 2.89, 4 Pa 3.03
Ni (0.1237, 0.1237, 0.6237) [16 per cell]  6 Ni 2.45-2.50

# 15
Here is a geometry-optimized SmH3Pt3 structure from Alexandria via LeMat-Bulk. Energies are from GGA-PBE.

## Properties
Spin magnetization (Bohr magnetons per cell): 0.00
Total DFT energy (no corrections) (eV for the cell shown): -73.85

a b c (Å): 6.3705 6.3705 4.7646
angles (deg): 90.00 90.00 120.00
With the nearest neighbours (Å) after each atom.
Space group P6_3/mmc (No. 194)
Inequivalent atoms, fractional coordinates:
Sm (0.3333, 0.6667, 0.2500) [2 per cell]  9 H 2.45-2.68
H (0.1110, 0.5555, 0.7500) [6 per cell]  2 Pt 1.81
Pt (0.1447, 0.2894, 0.7500) [6 per cell]  2 H 1.81

# 16
Here is a geometry-optimized LaPr2Co structure from Alexandria via LeMat-Bulk. Energies are from GGA-PBE.

## Properties
Calculated formation energy (eV/atom): 0.056
Spin magnetization (Bohr magnetons per cell): 0.00
Total DFT energy (no corrections) (eV for the cell shown): -64.10
Offset from the most stable computed form (meV/atom): 133

a b c (Å): 3.9361 3.9361 28.2873
angles (deg): 90.00 90.00 120.00
With the nearest neighbours (Å) after each atom.
Space group R3m (No. 160, hexagonal axes)
Inequivalent atoms, fractional coordinates:
La (0.0000, 0.0000, 0.0000) [3 per cell]  6 Pr 3.85-3.91, 6 La 3.94
Pr (0.0000, 0.0000, 0.5540) [3 per cell]  3 Co 2.77
Pr (0.0000, 0.0000, 0.7764) [3 per cell]  3 Co 2.76
Co (0.0000, 0.0000, 0.1649) [3 per cell]  6 Pr 2.76-2.77

# 17
Here is a geometry-optimized FeTcGe structure from Alexandria via LeMat-Bulk. Energies are from GGA-PBE.

## Properties
Calculated formation energy (eV/atom): -0.029
Spin magnetization (Bohr magnetons per cell): 0.00
Total DFT energy (no corrections) (eV for the cell shown): -94.13
Offset from the most stable computed form (meV/atom): 0

a b c (Å): 5.5893 5.5893 5.5893
angles (deg): 90.00 90.00 90.00
With the nearest neighbours (Å) after each atom.
Space group F-43m (No. 216)
Inequivalent atoms, fractional coordinates:
Fe (0.0000, 0.0000, 0.0000) [4 per cell]  4 Ge 2.42, 4 Tc 2.42
Tc (0.2500, 0.2500, 0.7500) [4 per cell]  4 Fe 2.42
Ge (0.2500, 0.2500, 0.2500) [4 per cell]  4 Fe 2.42

# 18
Here is a geometry-optimized TePb2Cl2 structure from Alexandria via LeMat-Bulk. Energies are from GGA-PBE.

## Properties
Formation energy from raw total energies (eV per atom): -0.52
Spin magnetization (Bohr magnetons per cell): 0.00
Total DFT energy (no corrections) (eV for the cell shown): -33.67
Offset from the most stable computed form (meV/atom): 310

a b c (Å): 5.5112 5.5112 10.2967
angles (deg): 90.00 90.00 90.00
With the nearest neighbours (Å) after each atom.
Space group I4/mmm (No. 139)
Inequivalent atoms, fractional coordinates:
Te (0.0000, 0.0000, 0.0000) [2 per cell]  2 Cl 3.62, 8 Pb 3.77
Pb (0.0000, 0.5000, 0.2500) [4 per cell]  4 Cl 2.95
Cl (0.0000, 0.0000, 0.3515) [4 per cell]  4 Pb 2.95, 1 Cl 3.06

# 19
Here is a geometry-optimized LaTiCdHg2 structure from Alexandria via LeMat-Bulk. Energies are from GGA-PBE.

## Properties
Calculated formation energy (eV/atom): 0.428
Spin magnetization (Bohr magnetons per cell): 2.35
Total DFT energy (no corrections) (eV for the cell shown): -12.20

a b c (Å): 5.2526 5.2526 5.3090
angles (deg): 90.00 90.00 90.00
With the nearest neighbours (Å) after each atom.
Space group P4/mmm (No. 123)
Inequivalent atoms, fractional coordinates:
La (0.0000, 0.0000, 0.0000) [1 per cell]  4 Ti 3.71, 8 Hg 3.73
Ti (0.5000, 0.5000, 0.0000) [1 per cell]  2 Cd 2.65
Cd (0.5000, 0.5000, 0.5000) [1 per cell]  4 Hg 2.63, 2 Ti 2.65
Hg (0.0000, 0.5000, 0.5000) [2 per cell]  2 Cd 2.63

# 20
Here is a geometry-optimized NiPtRh2 structure from Alexandria via LeMat-Bulk. Energies are from GGA-PBE.

## Properties
Calculated formation energy (eV/atom): 0.173
Spin magnetization (Bohr magnetons per cell): 1.66
Total DFT energy (no corrections) (eV for the cell shown): -51.67

a b c (Å): 2.7061 4.6274 9.0903
angles (deg): 90.00 90.00 90.00
With the nearest neighbours (Å) after each atom.
Space group Cmmm (No. 65)
Inequivalent atoms, fractional coordinates:
Ni (0.0000, 0.0000, 0.0000) [2 per cell]  4 Rh 2.53, 6 Ni 2.68-2.71
Pt (0.0000, 0.0000, 0.5000) [2 per cell]  6 Pt 2.68-2.71, 4 Rh 2.76
Rh (0.0000, 0.5000, 0.2351) [4 per cell]  2 Ni 2.53, 6 Rh 2.68-2.71, 2 Pt 2.76